Model A:
# TmScIn | the Alexandria database | PBE-GGA | relaxed
# ρ, g/cm³: 7.4
# Total magnetic moment, Bohr magnetons per cell: 0.00
# Crystal system: trigonal
data_TmScIn
_chemical_formula_sum 'Tm1 Sc1 In1'
_space_group_name_H-M_alt 'P 3 m 1'
_space_group_IT_number 156
_cell_length_a 5.1760
_cell_length_b 5.1760
_cell_length_c 3.1643
_cell_angle_alpha 90.00
_cell_angle_beta 90.00
_cell_angle_gamma 120.00
loop_
_space_group_symop_operation_xyz
'x,y,z'
'-y,x-y,z'
'-x+y,-x,z'
'-y,-x,z'
'-x+y,y,z'
'x,x-y,z'
loop_
_atom_site_label
_atom_site_type_symbol
_atom_site_fract_x
_atom_site_fract_y
_atom_site_fract_z
Tm1 Tm 0.0000 0.0000 0.0000
Sc1 Sc 0.6667 0.3333 0.9049
In1 In 0.3333 0.6667 0.4633

Model B:
# TmScIn | the Alexandria database | PBE-GGA | relaxed
# ρ, g/cm³: 7.3
# Total magnetic moment, Bohr magnetons per cell: 0.00
# Crystal system: hexagonal
data_TmScIn
_chemical_formula_sum 'Tm2 Sc2 In2'
_space_group_name_H-M_alt 'P 63/m m c'
_space_group_IT_number 194
_space_group_name_Hall '-P 6c 2c'
_cell_length_a 5.1562
_cell_length_b 5.1562
_cell_length_c 6.5313
_cell_angle_alpha 90.00
_cell_angle_beta 90.00
_cell_angle_gamma 120.00
loop_
_atom_site_label
_atom_site_type_symbol
_atom_site_fract_x
_atom_site_fract_y
_atom_site_fract_z
Tm1 Tm 0.0000 0.0000 0.0000
Sc1 Sc 0.3333 0.6667 0.2500
In1 In 0.3333 0.6667 0.7500

Model C:
# TmScIn | the Alexandria database | PBE-GGA | relaxed
# ρ, g/cm³: 7.2
# Total magnetic moment, Bohr magnetons per cell: 0.00
# Crystal system: tetragonal
data_TmScIn
_chemical_formula_sum 'Tm2 Sc2 In2'
_space_group_name_H-M_alt 'I 4 m m'
_space_group_IT_number 107
_space_group_name_Hall 'I 4 -2'
_cell_length_a 3.3895
_cell_length_b 3.3895
_cell_length_c 13.2382
_cell_angle_alpha 90.00
_cell_angle_beta 90.00
_cell_angle_gamma 90.00
loop_
_atom_site_label
_atom_site_type_symbol
_atom_site_fract_x
_atom_site_fract_y
_atom_site_fract_z
Tm1 Tm 0.0000 0.0000 0.0000
Sc1 Sc 0.0000 0.0000 0.3206
In1 In 0.0000 0.0000 0.6687

Comparing the structures above, model B comes out on top by 6.1 kJ/mol of atoms.